An optimized crystal structure of Cs2AgO. Source: Alexandria via LeMat-Bulk, functional GGA-PBE.

Cell lengths 9.089, 9.089, 9.089 Å; angles 93.19, 93.19, 152.71 degrees
Fractional coordinates of all 8 atoms:
Cs 0.375 0.105 0.230
Cs 0.855 0.625 0.730
Cs 0.875 0.145 0.770
Cs 0.895 0.125 0.270
Ag 0.250 0.750 0.500
Ag 0.500 0.500 0.000
O 0.000 0.000 0.000
O 0.750 0.250 0.500

Output
VASP energy, eV per atom: -2.8543
E_form (uncorrected), eV per formula unit: -1.901
Symmetry: I-42d, No. 122

---

An optimized crystal structure of CsAgOs2O8. Source: Alexandria via LeMat-Bulk, functional GGA-PBE.

Cell lengths 5.829, 5.829, 8.731 Å; angles 90.00, 90.00, 120.00 degrees
Fractional coordinates of all 12 atoms:
Cs 0.000 0.000 0.000
Ag 0.000 0.000 0.500
Os 0.333 0.667 0.734
Os 0.667 0.333 0.266
O 0.079 0.352 0.671
O 0.273 0.921 0.671
O 0.333 0.667 0.936
O 0.352 0.273 0.329
O 0.648 0.727 0.671
O 0.667 0.333 0.064
O 0.727 0.079 0.329
O 0.921 0.648 0.329

Output
VASP energy, eV per atom: -6.4639
E_form (uncorrected), eV per formula unit: -11.736
Symmetry: P-3, No. 147

---

An optimized crystal structure of Cs2AgOsO6. Source: Alexandria via LeMat-Bulk, functional GGA-PBE.

Cell lengths 6.496, 6.496, 5.781 Å; angles 90.00, 90.00, 120.00 degrees
Fractional coordinates of all 10 atoms:
Cs 0.333 0.667 0.286
Cs 0.667 0.333 0.714
Ag 0.000 0.000 0.000
Os 0.000 0.000 0.500
O 0.136 0.271 0.691
O 0.136 0.864 0.691
O 0.271 0.136 0.309
O 0.729 0.864 0.691
O 0.864 0.136 0.309
O 0.864 0.729 0.309

Output
VASP energy, eV per atom: -5.4803
E_form (uncorrected), eV per formula unit: -9.265
Symmetry: P-3m1, No. 164

---

An optimized crystal structure of CsAgP2O. Source: Alexandria via LeMat-Bulk, functional GGA-PBE.

Cell lengths 5.620, 5.620, 4.420 Å; angles 90.00, 90.00, 90.00 degrees
Fractional coordinates of all 5 atoms:
Cs 0.000 0.000 0.000
Ag 0.500 0.500 0.500
P 0.000 0.500 0.000
P 0.500 0.000 0.000
O 0.000 0.000 0.500

Output
VASP energy, eV per atom: -2.3047
E_form (uncorrected), eV per formula unit: 7.959
Symmetry: P4/mmm, No. 123

---

An optimized crystal structure of Cs2AgPO4. Source: Alexandria via LeMat-Bulk, functional GGA-PBE.

Cell lengths 12.438, 11.262, 6.648 Å; angles 83.74, 64.17, 32.09 degrees
Fractional coordinates of all 16 atoms:
Cs 0.051 0.051 0.699
Cs 0.301 0.301 0.949
Cs 0.699 0.699 0.051
Cs 0.949 0.949 0.301
Ag 0.125 0.125 0.125
Ag 0.875 0.875 0.875
P 0.375 0.375 0.375
P 0.625 0.625 0.625
O 0.097 0.571 0.499
O 0.332 0.499 0.571
O 0.429 0.903 0.668
O 0.499 0.332 0.097
O 0.501 0.668 0.903
O 0.571 0.097 0.332
O 0.668 0.501 0.429
O 0.903 0.429 0.501

Output
VASP energy, eV per atom: -5.4446
E_form (uncorrected), eV per formula unit: -13.756
Symmetry: Fddd, No. 70

---

An optimized crystal structure of Cs3PaAg2O6. Source: Alexandria via LeMat-Bulk, functional GGA-PBE.

Cell lengths 6.581, 6.581, 7.808 Å; angles 90.00, 90.00, 120.00 degrees
Fractional coordinates of all 12 atoms:
Cs 0.000 0.000 0.000
Cs 0.333 0.667 0.726
Cs 0.667 0.333 0.274
Pa 0.000 0.000 0.500
Ag 0.333 0.667 0.300
Ag 0.667 0.333 0.700
O 0.149 0.298 0.328
O 0.149 0.851 0.328
O 0.298 0.149 0.672
O 0.702 0.851 0.328
O 0.851 0.149 0.672
O 0.851 0.702 0.672

Output
VASP energy, eV per atom: -5.5246
E_form (uncorrected), eV per formula unit: -18.787
Symmetry: P-3m1, No. 164